Record 1
HgAu2, optimized geometry, DFT GGA-PBE; formation enthalpy at 0 K = 0.13 eV per atom
1.0
4.363 0.000 0.000
-2.182 3.779 0.000
0.000 0.000 3.825
Hg Au
1 2
direct
0.000 0.000 0.000
0.333 0.667 0.347
0.667 0.333 0.653

=====

Record 2
Hg2Au, optimized geometry, DFT GGA-PBE; formation enthalpy at 0 K = 0.12 eV per atom
1.0
-0.421 3.490 -1.647
0.395 -3.159 -2.221
-11.237 -1.376 -0.042
Au Hg
2 4
direct
0.000 0.000 0.250
0.000 0.000 0.750
0.333 0.667 0.410
0.333 0.667 0.090
0.667 0.333 0.590
0.667 0.333 0.910

=====

Record 3
HgAu2, optimized geometry, DFT GGA-PBE; formation enthalpy at 0 K = 0.04 eV per atom
1.0
5.883 0.171 0.000
0.614 5.853 0.000
-3.248 -3.012 3.875
Au Hg
4 2
direct
0.683 0.183 0.866
0.817 0.683 0.500
0.317 0.817 0.134
0.183 0.317 0.500
0.250 0.250 0.000
0.750 0.750 0.000

=====

Record 4
HgAu4, optimized geometry, DFT GGA-PBE; formation enthalpy at 0 K = 0.93 eV per atom; E above lowest polymorph = 0.8852 eV/atom
1.0
5.180 0.000 0.000
0.000 5.180 0.000
0.000 0.000 5.180
Au Hg
4 1
direct
0.000 0.000 0.000
0.500 0.000 0.500
0.000 0.500 0.500
0.500 0.500 0.000
0.500 0.500 0.500

=====

Record 5
Hg2Au, optimized geometry, DFT GGA-PBE; formation enthalpy at 0 K = 0.15 eV per atom
1.0
-0.713 2.822 3.839
-2.837 -3.823 -0.739
4.510 -4.091 3.845
Hg Au
4 2
direct
0.667 0.333 0.250
0.000 0.000 0.000
0.333 0.667 0.750
0.000 0.000 0.500
0.667 0.333 0.750
0.333 0.667 0.250

=====

Record 6
Hg3Au4, optimized geometry, DFT GGA-PBE; formation enthalpy at 0 K = 0.11 eV per atom
1.0
-0.534 10.533 -1.443
-0.080 8.581 -6.299
-2.309 -9.714 3.690
Au Hg
4 3
direct
0.861 0.861 0.000
0.139 0.139 0.000
0.571 0.571 0.000
0.429 0.429 0.000
0.000 0.000 0.000
0.289 0.289 0.000
0.711 0.711 0.000